(1)
First-principles (PBE) data for crystalline ZrTi2Au2 at its relaxed geometry, as listed in the Alexandria database.

Cell and atoms, written as CIF:
```
data_ZrTi2Au2
_chemical_formula_sum 'Zr2 Ti4 Au4'
_cell_length_a 7.6244
_cell_length_b 7.6244
_cell_length_c 3.1719
_cell_angle_alpha 90.00
_cell_angle_beta 90.00
_cell_angle_gamma 90.00
_symmetry_space_group_name_H-M 'P 4/m b m'
_symmetry_Int_Tables_number 127
_symmetry_space_group_name_Hall '-P 4 2ab'
loop_
_atom_site_label
_atom_site_type_symbol
_atom_site_fract_x
_atom_site_fract_y
_atom_site_fract_z
Zr1 Zr 0.0000 0.0000 0.0000
Ti1 Ti 0.1595 0.3405 0.0000
Au1 Au 0.1391 0.6391 0.5000
```

## Properties
Magnetization ... 0.3 μB per formula unit
ΔH_f (0 K) ... -0.244 eV per atom
E above lowest polymorph ... 0.033 eV/atom



(2)
First-principles (PBE) data for crystalline ZrV4Rh at its relaxed geometry, as listed in the Alexandria database.

Cell and atoms, written as CIF:
```
data_ZrV4Rh
_chemical_formula_sum 'Zr4 V16 Rh4'
_cell_length_a 7.1321
_cell_length_b 7.1321
_cell_length_c 7.1321
_cell_angle_alpha 90.00
_cell_angle_beta 90.00
_cell_angle_gamma 90.00
_symmetry_space_group_name_H-M 'F -4 3 m'
_symmetry_Int_Tables_number 216
_symmetry_space_group_name_Hall 'F -4 2 3'
loop_
_atom_site_label
_atom_site_type_symbol
_atom_site_fract_x
_atom_site_fract_y
_atom_site_fract_z
Zr1 Zr 0.0000 0.0000 0.0000
V1 V 0.1255 0.1255 0.3745
Rh1 Rh 0.2500 0.2500 0.7500
```

## Properties
Magnetization ... 0.0 μB per formula unit
ΔH_f (0 K) ... -0.066 eV per atom



(3)
First-principles (PBE) data for crystalline Pr4IrBrCl2 at its relaxed geometry, as listed in the Alexandria database.

Cell and atoms, written as CIF:
```
data_Pr4IrBrCl2
_chemical_formula_sum 'Pr4 Ir1 Br1 Cl2'
_cell_length_a 7.2768
_cell_length_b 4.1403
_cell_length_c 7.9167
_cell_angle_alpha 90.00
_cell_angle_beta 108.41
_cell_angle_gamma 90.00
_symmetry_space_group_name_H-M 'P 1 2/m 1'
_symmetry_Int_Tables_number 10
_symmetry_space_group_name_Hall '-P 2y'
loop_
_atom_site_label
_atom_site_type_symbol
_atom_site_fract_x
_atom_site_fract_y
_atom_site_fract_z
Pr1 Pr 0.2203 0.0000 0.2120
Pr2 Pr 0.2572 0.5000 0.7883
Ir1 Ir 0.0000 0.5000 0.0000
Br1 Br 0.0000 0.0000 0.5000
Cl1 Cl 0.5000 0.0000 0.0000
Cl2 Cl 0.5000 0.5000 0.5000
```

## Properties
Magnetization ... 0.0 μB per formula unit
Uncorrected formation energy ... -1.20 eV/atom



(4)
First-principles (PBE) data for crystalline BaMg9In3 at its relaxed geometry, as listed in the Alexandria database.

Cell and atoms, written as CIF:
```
data_BaMg9In3
_chemical_formula_sum 'Ba2 Mg18 In6'
_cell_length_a 6.0710
_cell_length_b 14.7704
_cell_length_c 7.9406
_cell_angle_alpha 90.00
_cell_angle_beta 111.91
_cell_angle_gamma 90.00
_symmetry_space_group_name_H-M 'C 1 2/m 1'
_symmetry_Int_Tables_number 12
_symmetry_space_group_name_Hall '-C 2y'
loop_
_atom_site_label
_atom_site_type_symbol
_atom_site_fract_x
_atom_site_fract_y
_atom_site_fract_z
Ba1 Ba 0.0000 0.0000 0.0000
Mg1 Mg 0.0000 0.0000 0.5000
Mg2 Mg 0.1108 0.3904 0.2201
Mg3 Mg 0.1712 0.1777 0.3591
In1 In 0.0000 0.5000 0.5000
In2 In 0.2500 0.2500 0.0000
```

## Properties
Magnetization ... 0.0 μB per formula unit
ΔH_f (0 K) ... -0.131 eV per atom